Run P
# NaPd2Pb4

NaPd2Pb4 after structural relaxation (GGA-PBE, Alexandria).

Lattice parameters (Å, degrees): 6.852 7.123 8.653 111.77 104.24 100.01
Space group P1 (No. 1)
Asymmetric unit:
Na  0.000  0.000  0.000 (multiplicity 1)
Na  0.187  0.770  0.496 (multiplicity 1)
Pd  0.167  0.291  0.804 (multiplicity 1)
Pd  0.490  0.233  0.627 (multiplicity 1)
Pd  0.789  0.782  0.235 (multiplicity 1)
Pd  0.804  0.362  0.254 (multiplicity 1)
Pb  0.084  0.193  0.424 (multiplicity 1)
Pb  0.433  0.501  0.232 (multiplicity 1)
Pb  0.486  0.029  0.267 (multiplicity 1)
Pb  0.493  0.115  0.905 (multiplicity 1)
Pb  0.499  0.638  0.877 (multiplicity 1)
Pb  0.771  0.972  0.605 (multiplicity 1)
Pb  0.844  0.506  0.629 (multiplicity 1)
Pb  0.958  0.498  0.023 (multiplicity 1)

Output
The calculation puts the density of states at the Fermi level at 3.266 states/eV/f.u. The total moment comes out at 0.00 Bohr magnetons per cell.

=====

Run Q
# NaPd2Pb4

NaPd2Pb4 after structural relaxation (GGA-PBE, Alexandria).

Lattice parameters (Å, degrees): 19.779 4.611 7.706 90.00 90.00 90.00
Space group Pnma (No. 62)
Asymmetric unit:
Na  0.142  0.250  0.043 (multiplicity 4)
Pd  0.041  0.750  0.242 (multiplicity 4)
Pd  0.214  0.250  0.552 (multiplicity 4)
Pb  0.034  0.750  0.864 (multiplicity 4)
Pb  0.068  0.250  0.496 (multiplicity 4)
Pb  0.183  0.750  0.328 (multiplicity 4)
Pb  0.193  0.750  0.760 (multiplicity 4)

Output
The calculation puts the density of states at the Fermi level at 3.429 states/eV/f.u. The total moment comes out at 0.00 Bohr magnetons per cell.

=====

So which one is most stable? That would be run Q, about 37 meV per atom below the next structure.

=====

Run P
# Na3Pd2Pb4

Na3Pd2Pb4 after structural relaxation (GGA-PBE, Alexandria).

Lattice parameters (Å, degrees): 11.260 4.850 8.690 90.00 90.65 90.00
Space group C2/m (No. 12)
Asymmetric unit:
Na  0.000  0.000  0.000 (multiplicity 2)
Na  0.097  0.500  0.300 (multiplicity 4)
Pd  0.229  0.500  0.605 (multiplicity 4)
Pb  0.108  0.000  0.632 (multiplicity 4)
Pb  0.179  0.500  0.921 (multiplicity 4)

Output
The calculation puts the density of states at the Fermi level at 3.631 states/eV/f.u. The total moment comes out at 0.00 Bohr magnetons per cell.

=====

Run Q
# Na3Pd2Pb4

Na3Pd2Pb4 after structural relaxation (GGA-PBE, Alexandria).

Lattice parameters (Å, degrees): 12.909 10.155 7.637 90.00 104.55 90.00
Space group C2/c (No. 15)
Asymmetric unit:
Na  0.000  0.046  0.250 (multiplicity 4)
Na  0.133  0.413  0.208 (multiplicity 8)
Pd  0.220  0.126  0.417 (multiplicity 8)
Pb  0.087  0.255  0.609 (multiplicity 8)
Pb  0.182  0.123  0.037 (multiplicity 8)

Output
The calculation puts the density of states at the Fermi level at 3.915 states/eV/f.u. The total moment comes out at 0.00 Bohr magnetons per cell.

=====

So which one is most stable? That would be run P, about 35 meV per atom below the next structure.

=====

Run P
# NaPd2Pb8

NaPd2Pb8 after structural relaxation (GGA-PBE, Alexandria).

Lattice parameters (Å, degrees): 8.937 13.014 5.435 90.00 101.41 90.00
Space group C2/m (No. 12)
Asymmetric unit:
Na  0.000  0.000  0.000 (multiplicity 2)
Pd  0.000  0.323  0.500 (multiplicity 4)
Pb  0.000  0.254  0.000 (multiplicity 4)
Pb  0.122  0.500  0.807 (multiplicity 4)
Pb  0.201  0.131  0.606 (multiplicity 8)

Output
The calculation puts the density of states at the Fermi level at 5.672 states/eV/f.u. The total moment comes out at 0.00 Bohr magnetons per cell.

=====

Run Q
# NaPd2Pb8

NaPd2Pb8 after structural relaxation (GGA-PBE, Alexandria).

Lattice parameters (Å, degrees): 17.957 6.435 5.718 90.00 106.45 90.00
Space group C2/m (No. 12)
Asymmetric unit:
Na  0.000  0.000  0.000 (multiplicity 2)
Pd  0.235  0.500  0.338 (multiplicity 4)
Pb  0.087  0.500  0.962 (multiplicity 4)
Pb  0.121  0.247  0.499 (multiplicity 8)
Pb  0.214  0.000  0.107 (multiplicity 4)

Output
The calculation puts the density of states at the Fermi level at 6.372 states/eV/f.u. The total moment comes out at 0.00 Bohr magnetons per cell.

=====

So which one is most stable? That would be run P, about 7 meV per atom below the next structure.

=====

Run P
# NaPd4Pb

NaPd4Pb after structural relaxation (GGA-PBE, Alexandria).

Lattice parameters (Å, degrees): 7.972 4.148 6.975 90.00 90.00 90.00
Space group Pmma (No. 51)
Asymmetric unit:
Na  0.250  0.000  0.188 (multiplicity 2)
Pd  0.000  0.000  0.500 (multiplicity 2)
Pd  0.023  0.500  0.795 (multiplicity 4)
Pd  0.250  0.500  0.474 (multiplicity 2)
Pb  0.250  0.000  0.768 (multiplicity 2)

Output
The calculation puts the density of states at the Fermi level at 4.600 states/eV/f.u. The total moment comes out at 0.00 Bohr magnetons per cell.

=====

Run Q
# NaPd4Pb

NaPd4Pb after structural relaxation (GGA-PBE, Alexandria).

Lattice parameters (Å, degrees): 7.650 7.650 7.650 90.00 90.00 90.00
Space group F-43m (No. 216)
Asymmetric unit:
Na  0.000  0.000  0.000 (multiplicity 4)
Pd  0.125  0.125  0.625 (multiplicity 16)
Pb  0.250  0.250  0.250 (multiplicity 4)

Output
The calculation puts the density of states at the Fermi level at 5.765 states/eV/f.u. The total moment comes out at 0.00 Bohr magnetons per cell.

=====

So which one is most stable? That would be run Q, about 124 meV per atom below the next structure.

=====

Run P
# Na2Pd3Pb2

Na2Pd3Pb2 after structural relaxation (GGA-PBE, Alexandria).

Lattice parameters (Å, degrees): 4.7576 4.7576 22.4980 90.00 90.00 120.00
Space group R-3m (No. 166, hexagonal axes)
Asymmetric unit:
Na  0.0000  0.0000  0.1364 (multiplicity 6)
Pd  0.0000  0.0000  0.0000 (multiplicity 3)
Pd  0.0000  0.0000  0.2787 (multiplicity 6)
Pb  0.0000  0.0000  0.4031 (multiplicity 6)

Output
The calculation puts the density of states at the Fermi level at 2.447 states/eV/f.u. The total moment comes out at 0.00 Bohr magnetons per cell.

=====

Run Q
# Na2Pd3Pb2

Na2Pd3Pb2 after structural relaxation (GGA-PBE, Alexandria).

Lattice parameters (Å, degrees): 12.328 3.875 7.383 90.00 116.55 90.00
Space group C2/m (No. 12)
Asymmetric unit:
Na  0.114  0.000  0.276 (multiplicity 4)
Pd  0.000  0.500  0.500 (multiplicity 2)
Pd  0.091  0.500  0.938 (multiplicity 4)
Pb  0.171  0.000  0.754 (multiplicity 4)

Output
The calculation puts the density of states at the Fermi level at 2.888 states/eV/f.u. The total moment comes out at 0.00 Bohr magnetons per cell.

=====

So which one is most stable? That would be run P, about 35 meV per atom below the next structure.

=====

Run P
# NaPd2Pb3

NaPd2Pb3 after structural relaxation (GGA-PBE, Alexandria).

Lattice parameters (Å, degrees): 8.167 10.674 7.391 90.00 90.00 90.00
Space group Imma (No. 74)
Asymmetric unit:
Na  0.000  0.250  0.163 (multiplicity 4)
Pd  0.000  0.043  0.816 (multiplicity 8)
Pb  0.200  0.000  0.500 (multiplicity 8)
Pb  0.250  0.250  0.750 (multiplicity 4)

Output
The calculation puts the density of states at the Fermi level at 2.650 states/eV/f.u. The total moment comes out at 0.00 Bohr magnetons per cell.

=====

Run Q
# NaPd2Pb3

NaPd2Pb3 after structural relaxation (GGA-PBE, Alexandria).

Lattice parameters (Å, degrees): 4.539 8.518 7.496 90.00 90.00 90.00
Space group Pmc2_1 (No. 26)
Asymmetric unit:
Na  0.000  0.080  0.000 (multiplicity 2)
Pd  0.000  0.383  0.252 (multiplicity 2)
Pd  0.500  0.132  0.704 (multiplicity 2)
Pb  0.000  0.306  0.623 (multiplicity 2)
Pb  0.500  0.181  0.315 (multiplicity 2)
Pb  0.500  0.420  0.952 (multiplicity 2)

Output
The calculation puts the density of states at the Fermi level at 2.074 states/eV/f.u. The total moment comes out at 0.00 Bohr magnetons per cell.

=====

So which one is most stable? That would be run Q, about 78 meV per atom below the next structure.

=====

Run P
# Na3Pd3Pb2

Na3Pd3Pb2 after structural relaxation (GGA-PBE, Alexandria).

Lattice parameters (Å, degrees): 7.9519 7.9519 3.1954 90.00 90.00 120.00
Space group P-62m (No. 189)
Asymmetric unit:
Na  0.0000  0.2360  0.0000 (multiplicity 3)
Pd  0.0000  0.5946  0.5000 (multiplicity 3)
Pb  0.3333  0.6667  0.0000 (multiplicity 2)

Output
The calculation puts the density of states at the Fermi level at 3.286 states/eV/f.u. The total moment comes out at 0.00 Bohr magnetons per cell.

=====

Run Q
# Na3Pd3Pb2

Na3Pd3Pb2 after structural relaxation (GGA-PBE, Alexandria).

Lattice parameters (Å, degrees): 5.5676 5.5676 20.4217 90.00 90.00 120.00
Space group R-3m (No. 166, hexagonal axes)
Asymmetric unit:
Na  0.0000  0.0000  0.0000 (multiplicity 3)
Na  0.0000  0.0000  0.4312 (multiplicity 6)
Pd  0.0000  0.5000  0.5000 (multiplicity 9)
Pb  0.0000  0.0000  0.2797 (multiplicity 6)

Output
The calculation puts the density of states at the Fermi level at 4.548 states/eV/f.u. The total moment comes out at 0.00 Bohr magnetons per cell.

=====

So which one is most stable? That would be run P, about 9 meV per atom below the next structure.

=====

Run P
# NaTlPdPb2

NaTlPdPb2 after structural relaxation (GGA-PBE, Alexandria).

Lattice parameters (Å, degrees): 5.464 5.464 5.374 90.00 90.00 90.00
Space group P4/mmm (No. 123)
Asymmetric unit:
Na  0.000  0.000  0.000 (multiplicity 1)
Tl  0.500  0.500  0.000 (multiplicity 1)
Pd  0.500  0.500  0.500 (multiplicity 1)
Pb  0.000  0.500  0.500 (multiplicity 2)

Output
The calculation puts the density of states at the Fermi level at 4.156 states/eV/f.u. The total moment comes out at 0.00 Bohr magnetons per cell.

=====

Run Q
# NaTlPdPb2

NaTlPdPb2 after structural relaxation (GGA-PBE, Alexandria).

Lattice parameters (Å, degrees): 5.322 5.322 5.410 90.00 90.00 90.00
Space group P4/mmm (No. 123)
Asymmetric unit:
Na  0.000  0.000  0.000 (multiplicity 1)
Tl  0.500  0.500  0.000 (multiplicity 1)
Pd  0.000  0.000  0.500 (multiplicity 1)
Pb  0.000  0.500  0.500 (multiplicity 2)

Output
The calculation puts the density of states at the Fermi level at 2.891 states/eV/f.u. The total moment comes out at 0.00 Bohr magnetons per cell.

=====

So which one is most stable? That would be run Q, about 46 meV per atom below the next structure.

=====

Run P
# Na2PmPb3

Na2PmPb3 after structural relaxation (GGA-PBE, Alexandria).

Lattice parameters (Å, degrees): 3.676 3.676 12.844 90.00 90.00 90.00
Space group P4/mmm (No. 123)
Asymmetric unit:
Na  0.000  0.000  0.163 (multiplicity 2)
Pm  0.000  0.000  0.500 (multiplicity 1)
Pb  0.500  0.500  0.000 (multiplicity 1)
Pb  0.500  0.500  0.326 (multiplicity 2)

Output
The calculation puts the density of states at the Fermi level at 3.362 states/eV/f.u. The total moment comes out at 0.00 Bohr magnetons per cell.

=====

Run Q
# Na2PmPb3

Na2PmPb3 after structural relaxation (GGA-PBE, Alexandria).

Lattice parameters (Å, degrees): 5.027 15.109 9.260 90.00 90.00 90.00
Space group Cmmm (No. 65)
Asymmetric unit:
Na  0.000  0.000  0.000 (multiplicity 2)
Na  0.000  0.000  0.500 (multiplicity 2)
Na  0.000  0.336  0.000 (multiplicity 4)
Pm  0.000  0.339  0.500 (multiplicity 4)
Pb  0.000  0.167  0.253 (multiplicity 8)
Pb  0.000  0.500  0.255 (multiplicity 4)

Output
The calculation puts the density of states at the Fermi level at 3.684 states/eV/f.u. The total moment comes out at 0.00 Bohr magnetons per cell.

=====

So which one is most stable? That would be run Q, about 7 meV per atom below the next structure.

=====

Run P
# NaPmPb3

NaPmPb3 after structural relaxation (GGA-PBE, Alexandria).

Lattice parameters (Å, degrees): 6.547 14.251 6.469 90.00 90.13 90.00
Space group P2/c (No. 13)
Asymmetric unit:
Na  0.000  0.102  0.250 (multiplicity 2)
Na  0.500  0.102  0.250 (multiplicity 2)
Pm  0.250  0.316  0.503 (multiplicity 4)
Pb  0.000  0.495  0.750 (multiplicity 2)
Pb  0.250  0.104  0.714 (multiplicity 4)
Pb  0.250  0.287  0.012 (multiplicity 4)
Pb  0.500  0.496  0.750 (multiplicity 2)

Output
The calculation puts the density of states at the Fermi level at 2.410 states/eV/f.u. The total moment comes out at 0.00 Bohr magnetons per cell.

=====

Run Q
# NaPmPb3

NaPmPb3 after structural relaxation (GGA-PBE, Alexandria).

Lattice parameters (Å, degrees): 8.907 6.731 10.360 90.00 108.22 90.00
Space group P2_1/c (No. 14)
Asymmetric unit:
Na  0.101  0.056  0.148 (multiplicity 4)
Pm  0.326  0.732  0.957 (multiplicity 4)
Pb  0.096  0.559  0.149 (multiplicity 4)
Pb  0.275  0.232  0.944 (multiplicity 4)
Pb  0.499  0.018  0.755 (multiplicity 4)

Output
The calculation puts the density of states at the Fermi level at 2.587 states/eV/f.u. The total moment comes out at 0.00 Bohr magnetons per cell.

=====

So which one is most stable? That would be run Q, about 9 meV per atom below the next structure.